DFT (PBE) results for MgAlSi after structural relaxation.

Output
E above lowest polymorph: 0.0000 eV per atom
VASP energy: -3.64 eV per atom
Formation energy from raw total energies: -0.051 eV per atom

a b c (Å): 4.1174 6.5935 7.9132
angles (deg): 90.00 90.00 90.00
Fractional positions:
Al (0.2500, 0.1414, 0.9350)
Al (0.7500, 0.3586, 0.4350)
Al (0.7500, 0.8586, 0.0649)
Al (0.2500, 0.6414, 0.5649)
Mg (0.2500, 0.0328, 0.3257)
Mg (0.7500, 0.4672, 0.8257)
Mg (0.7500, 0.9672, 0.6743)
Mg (0.2500, 0.5328, 0.1743)
Si (0.2500, 0.2616, 0.6209)
Si (0.7500, 0.2384, 0.1209)
Si (0.7500, 0.7384, 0.3791)
Si (0.2500, 0.7616, 0.8791)

=====

DFT (PBE) results for MgAlSi2 after structural relaxation.

Output
E above lowest polymorph: 0.1086 eV per atom
VASP energy: -3.80 eV per atom
Formation energy from raw total energies: 0.244 eV per atom

a b c (Å): 4.5674 4.5674 4.5674
angles (deg): 60.00 60.00 60.00
Fractional positions:
Mg (0.0000, 0.0000, 0.0000)
Si (0.2500, 0.2500, 0.2500)
Si (0.7500, 0.7500, 0.7500)
Al (0.5000, 0.5000, 0.5000)

=====

DFT (PBE) results for MgAlSi after structural relaxation.

Output
E above lowest polymorph: 0.1568 eV per atom
VASP energy: -3.48 eV per atom
Formation energy from raw total energies: 0.106 eV per atom

a b c (Å): 5.3049 5.3049 5.3049
angles (deg): 146.72 139.20 53.63
Fractional positions:
Al (0.0201, 0.0201, 0.0000)
Mg (0.3297, 0.3297, 0.0000)
Si (0.6502, 0.6502, 0.0000)

=====

DFT (PBE) results for MgAlSi after structural relaxation.

Output
E above lowest polymorph: 0.0610 eV per atom
VASP energy: -3.58 eV per atom
Formation energy from raw total energies: 0.010 eV per atom

a b c (Å): 4.0616 5.0114 6.4279
angles (deg): 72.36 81.93 81.32
Fractional positions:
Mg (0.7468, 0.7732, 0.4266)
Mg (0.2532, 0.2268, 0.5734)
Al (0.3624, 0.2333, 0.0554)
Al (0.6376, 0.7667, 0.9446)
Si (0.8042, 0.3328, 0.2634)
Si (0.1958, 0.6672, 0.7366)

=====

DFT (PBE) results for MgAlSi after structural relaxation.

Output
E above lowest polymorph: 0.0490 eV per atom
VASP energy: -3.59 eV per atom
Formation energy from raw total energies: -0.002 eV per atom

a b c (Å): 4.1483 5.4401 5.7631
angles (deg): 72.44 68.39 66.61
Fractional positions:
Mg (0.9258, 0.8248, 0.3230)
Mg (0.0742, 0.1752, 0.6770)
Al (0.6657, 0.7536, 0.9168)
Al (0.3343, 0.2464, 0.0832)
Si (0.6445, 0.3849, 0.3179)
Si (0.3555, 0.6151, 0.6821)

=====

DFT (PBE) results for Mg16Al12Si after structural relaxation.

Output
E above lowest polymorph: 0.0097 eV per atom
VASP energy: -2.62 eV per atom
Formation energy from raw total energies: -0.007 eV per atom

a b c (Å): 9.0521 9.0521 9.0521
angles (deg): 109.19 109.19 109.19
Fractional positions:
Mg (0.2826, 0.6829, 0.6829)
Mg (0.0019, 0.0019, 0.0019)
Mg (0.3468, 0.9978, 0.9978)
Mg (0.7032, 0.4136, 0.4136)
Mg (0.9975, 0.5950, 0.3180)
Mg (0.4136, 0.7032, 0.4136)
Mg (0.5950, 0.3180, 0.9975)
Mg (0.9978, 0.3468, 0.9978)
Mg (0.3180, 0.9975, 0.5950)
Mg (0.6829, 0.6829, 0.2826)
Mg (0.6829, 0.2826, 0.6829)
Mg (0.3180, 0.5950, 0.9975)
Mg (0.9978, 0.9978, 0.3468)
Mg (0.5950, 0.9975, 0.3180)
Mg (0.4136, 0.4136, 0.7032)
Mg (0.9975, 0.3180, 0.5950)
Al (0.1673, 0.3561, 0.3561)
Al (0.8069, 0.1858, 0.1858)
Al (0.0009, 0.8156, 0.6318)
Al (0.6318, 0.0009, 0.8156)
Al (0.3561, 0.3561, 0.1673)
Al (0.8156, 0.0009, 0.6318)
Al (0.1858, 0.1858, 0.8069)
Al (0.1858, 0.8069, 0.1858)
Al (0.8156, 0.6318, 0.0009)
Al (0.3561, 0.1673, 0.3561)
Al (0.6318, 0.8156, 0.0009)
Al (0.0009, 0.6318, 0.8156)
Si (0.7012, 0.7012, 0.7012)

=====

Number 1: theoretical density 2.454 g cm⁻³. Number 2: theoretical density 2.648 g cm⁻³. Number 3: theoretical density 2.478 g cm⁻³. Number 4: theoretical density 2.150 g cm⁻³. Number 5: theoretical density 2.416 g cm⁻³. Number 6: theoretical density 2.132 g cm⁻³.